HfZrN PBE optimized geometry; ρ = 9.62 Mg/m³; space group = Pmma (51); formation energy from raw total energies = -1.107 eV/atom; polymorph energy (0 for the lowest one) = 102.1 meV/atom
1.0
5.439 0.000 0.000
0.000 3.290 0.000
0.000 0.000 5.474
Hf Zr N
2 2 2
Cartesian
1.360 0.000 1.043 Hf
4.079 0.000 4.431 Hf
1.360 1.645 3.666 Zr
4.079 1.645 1.808 Zr
0.000 0.000 2.737 N
2.719 0.000 2.737 N